A relaxed structure of Y3GeTe6. Source: Alexandria, functional PBE.

Lattice parameters (Å, degrees): 7.3358 9.6241 9.6241 102.25 90.00 90.00
Last column: nearest neighbours and their distance in Å.
Positions (direct):
1 Y 0.4845 0.9150 0.7205  7 Te 3.05-3.28
2 Y 0.9845 0.7205 0.9150  7 Te 3.05-3.28
3 Y 0.3767 0.4065 0.5935  7 Te 3.08-3.38
4 Y 0.8767 0.5935 0.4065  7 Te 3.08-3.38
5 Y 0.9845 0.0850 0.2795  7 Te 3.05-3.28
6 Y 0.4845 0.2795 0.0850  7 Te 3.05-3.28
7 Ge 0.0242 0.2019 0.7981  4 Te 2.73-2.82
8 Ge 0.5242 0.7981 0.2019  4 Te 2.73-2.82
9 Te 0.1778 0.7013 0.6258  4 Y 3.05-3.15
10 Te 0.6778 0.6258 0.7013  4 Y 3.05-3.15
11 Te 0.2175 0.4435 0.9037  1 Ge 2.73
12 Te 0.7175 0.9037 0.4435  1 Ge 2.73
13 Te 0.1825 0.0334 0.9666  1 Ge 2.78
14 Te 0.6422 0.2218 0.7782  1 Ge 2.82, 2 Y 3.11
15 Te 0.1422 0.7782 0.2218  1 Ge 2.82, 2 Y 3.11
16 Te 0.6825 0.9666 0.0334  1 Ge 2.78
17 Te 0.2175 0.0963 0.5565  1 Ge 2.73
18 Te 0.7175 0.5565 0.0963  1 Ge 2.73
19 Te 0.1778 0.3742 0.2987  4 Y 3.05-3.15
20 Te 0.6778 0.2987 0.3742  4 Y 3.05-3.15

Calculated values
Calculated density: 5.53 g/cm³
Space-group type: No. 36
Formation energy without anion corrections: -1020 meV/atom
Calculated total energy: -5.31 eV per atom